Model w:
Compound: TcPb2O6
Source: Alexandria via LeMat-Bulk
Functional: PBE
Structure: relaxed

Symmetry: P-1, No. 2
M_tot: 0.0 μB per formula unit

a = 5.930 Å, b = 5.798 Å, c = 5.786 Å
α = 110.60°, β = 68.34°, γ = 74.51°
Fractional positions:
1 O 0.981 0.332 0.259
2 O 0.174 0.816 0.149
3 O 0.339 0.934 0.705
4 O 0.019 0.668 0.741
5 O 0.826 0.184 0.851
6 O 0.661 0.066 0.295
7 Tc 0.000 0.000 0.000
8 Pb 0.197 0.187 0.492
9 Pb 0.803 0.813 0.508

---

Model x:
Compound: TcPb2O6
Source: Alexandria via LeMat-Bulk
Functional: PBE
Structure: relaxed

Symmetry: P4_2/mnm, No. 136
M_tot: 0.0 μB per formula unit

a = 5.092 Å, b = 5.092 Å, c = 10.256 Å
α = 90.00°, β = 90.00°, γ = 90.00°
Fractional positions:
1 Tc 0.000 0.000 0.000
2 Tc 0.500 0.500 0.500
3 Pb 0.000 0.000 0.333
4 Pb 0.500 0.500 0.167
5 Pb 0.000 0.000 0.667
6 Pb 0.500 0.500 0.833
7 O 0.820 0.180 0.141
8 O 0.765 0.235 0.500
9 O 0.180 0.820 0.859
10 O 0.680 0.680 0.359
11 O 0.735 0.735 0.000
12 O 0.235 0.765 0.500
13 O 0.320 0.320 0.641
14 O 0.265 0.265 0.000
15 O 0.320 0.320 0.359
16 O 0.680 0.680 0.641
17 O 0.180 0.820 0.141
18 O 0.820 0.180 0.859

---

Stability check: which of them is least stable? model w.

---

Model w:
Compound: Te2PbO
Source: Alexandria via LeMat-Bulk
Functional: PBE
Structure: relaxed

Symmetry: R-3m, No. 166
M_tot: 0.0 μB per formula unit

a = 7.248 Å, b = 7.248 Å, c = 7.248 Å
α = 41.99°, β = 41.99°, γ = 41.99°
Fractional positions:
1 Pb 0.500 0.500 0.500
2 Te 0.899 0.899 0.899
3 Te 0.101 0.101 0.101
4 O 0.000 0.000 0.000

---

Model x:
Compound: Te2PbO
Source: Alexandria via LeMat-Bulk
Functional: PBE
Structure: relaxed

Symmetry: Fm-3m, No. 225
M_tot: 0.0 μB per formula unit

a = 5.119 Å, b = 5.119 Å, c = 5.119 Å
α = 60.00°, β = 60.00°, γ = 60.00°
Fractional positions:
1 Pb 0.500 0.500 0.500
2 Te 0.250 0.250 0.250
3 Te 0.750 0.750 0.750
4 O 0.000 0.000 0.000

---

Model y:
Compound: Te2PbO
Source: Alexandria via LeMat-Bulk
Functional: PBE
Structure: relaxed

Symmetry: I-42d, No. 122
M_tot: 0.0 μB per formula unit

a = 6.086 Å, b = 6.086 Å, c = 7.816 Å
α = 67.09°, β = 67.09°, γ = 90.00°
Fractional positions:
1 Te 0.875 0.721 0.750
2 Te 0.471 0.125 0.250
3 Te 0.375 0.529 0.750
4 Te 0.279 0.625 0.250
5 Pb 0.750 0.250 0.500
6 Pb 0.000 0.000 0.000
7 O 0.250 0.750 0.500
8 O 0.500 0.500 0.000

---

Stability check: which of them is least stable? model x.

---

Model w:
Compound: Te3Pb2O8
Source: Alexandria via LeMat-Bulk
Functional: PBE
Structure: relaxed

Symmetry: Cmcm, No. 63
M_tot: 0.0 μB per formula unit

a = 10.693 Å, b = 10.693 Å, c = 19.240 Å
α = 90.00°, β = 90.00°, γ = 140.47°
Fractional positions:
1 O 0.629 0.983 0.532
2 O 0.350 0.706 0.115
3 O 0.371 0.017 0.468
4 O 0.507 0.363 0.250
5 O 0.493 0.637 0.750
6 O 0.349 0.020 0.179
7 O 0.294 0.650 0.615
8 O 0.980 0.651 0.679
9 O 0.004 0.148 0.885
10 O 0.996 0.852 0.115
11 O 0.371 0.017 0.032
12 O 0.996 0.852 0.385
13 O 0.629 0.983 0.968
14 O 0.017 0.371 0.468
15 O 0.650 0.294 0.615
16 O 0.983 0.629 0.532
17 O 0.637 0.493 0.750
18 O 0.294 0.650 0.885
19 O 0.582 0.582 0.136
20 O 0.017 0.371 0.032
21 O 0.148 0.004 0.615
22 O 0.148 0.004 0.885
23 O 0.852 0.996 0.115
24 O 0.418 0.418 0.636
25 O 0.363 0.507 0.250
26 O 0.706 0.350 0.385
27 O 0.852 0.996 0.385
28 O 0.020 0.349 0.179
29 O 0.015 0.677 0.250
30 O 0.418 0.418 0.864
31 O 0.677 0.015 0.250
32 O 0.589 0.411 0.500
33 O 0.349 0.020 0.321
34 O 0.004 0.148 0.615
35 O 0.983 0.629 0.968
36 O 0.651 0.980 0.679
37 O 0.706 0.350 0.115
38 O 0.980 0.651 0.821
39 O 0.323 0.985 0.750
40 O 0.350 0.706 0.385
41 O 0.020 0.349 0.321
42 O 0.650 0.294 0.885
43 O 0.589 0.411 0.000
44 O 0.985 0.323 0.750
45 O 0.582 0.582 0.364
46 O 0.411 0.589 0.000
47 O 0.651 0.980 0.821
48 O 0.411 0.589 0.500
49 Pb 0.685 0.304 0.750
50 Pb 0.936 0.318 0.910
51 Pb 0.682 0.064 0.090
52 Pb 0.318 0.936 0.590
53 Pb 0.315 0.696 0.250
54 Pb 0.682 0.064 0.410
55 Pb 0.064 0.682 0.410
56 Pb 0.318 0.936 0.910
57 Pb 0.696 0.315 0.250
58 Pb 0.064 0.682 0.090
59 Pb 0.936 0.318 0.590
60 Pb 0.304 0.685 0.750
61 Te 0.536 0.771 0.584
62 Te 0.207 0.207 0.924
63 Te 0.055 0.826 0.750
64 Te 0.207 0.207 0.576
65 Te 0.826 0.055 0.750
66 Te 0.771 0.536 0.916
67 Te 0.945 0.174 0.250
68 Te 0.401 0.401 0.750
69 Te 0.771 0.536 0.584
70 Te 0.793 0.793 0.424
71 Te 0.793 0.793 0.076
72 Te 0.174 0.945 0.250
73 Te 0.464 0.229 0.416
74 Te 0.229 0.464 0.084
75 Te 0.599 0.599 0.250
76 Te 0.464 0.229 0.084
77 Te 0.229 0.464 0.416
78 Te 0.536 0.771 0.916

---

Model x:
Compound: Te3Pb2O8
Source: Alexandria via LeMat-Bulk
Functional: PBE
Structure: relaxed

Symmetry: C2/m, No. 12
M_tot: 0.0 μB per formula unit

a = 5.795 Å, b = 6.764 Å, c = 7.064 Å
α = 118.61°, β = 108.64°, γ = 90.00°
Fractional positions:
1 O 0.398 0.876 0.209
2 O 0.602 0.667 0.791
3 O 0.052 0.402 0.804
4 O 0.398 0.333 0.209
5 O 0.948 0.598 0.196
6 O 0.899 0.109 0.218
7 O 0.602 0.124 0.791
8 O 0.101 0.891 0.782
9 Te 0.500 0.000 0.000
10 Te 0.000 0.739 0.000
11 Te 0.000 0.261 0.000
12 Pb 0.339 0.288 0.577
13 Pb 0.661 0.712 0.423

---

Stability check: which of them is least stable? model x.

---

Model w:
Compound: TePb3O
Source: Alexandria via LeMat-Bulk
Functional: PBE
Structure: relaxed

Symmetry: Pm-3m, No. 221
M_tot: 0.0 μB per formula unit

a = 6.011 Å, b = 6.011 Å, c = 6.011 Å
α = 90.00°, β = 90.00°, γ = 90.00°
Fractional positions:
1 O 0.500 0.500 0.500
2 Pb 0.000 0.500 0.000
3 Pb 0.500 0.000 0.000
4 Pb 0.000 0.000 0.500
5 Te 0.000 0.000 0.000

---

Model x:
Compound: TePb3O
Source: Alexandria via LeMat-Bulk
Functional: PBE
Structure: relaxed

Symmetry: Pm-3m, No. 221
M_tot: 0.0 μB per formula unit

a = 5.150 Å, b = 5.150 Å, c = 5.150 Å
α = 90.00°, β = 90.00°, γ = 90.00°
Fractional positions:
1 Pb 0.000 0.500 0.000
2 Pb 0.500 0.000 0.000
3 Pb 0.000 0.000 0.500
4 O 0.000 0.000 0.000
5 Te 0.500 0.500 0.500

---

Stability check: which of them is least stable? model w.

---

Model w:
Compound: Te2Pb3O
Source: Alexandria via LeMat-Bulk
Functional: PBE
Structure: relaxed

Symmetry: Pnma, No. 62
M_tot: 0.0 μB per formula unit

a = 4.434 Å, b = 9.383 Å, c = 18.060 Å
α = 90.00°, β = 90.00°, γ = 90.00°
Fractional positions:
1 Te 0.250 0.232 0.963
2 Te 0.250 0.732 0.537
3 Te 0.250 0.421 0.216
4 Te 0.750 0.079 0.716
5 Te 0.750 0.579 0.784
6 Te 0.250 0.921 0.284
7 Te 0.750 0.768 0.037
8 Te 0.750 0.268 0.463
9 Pb 0.250 0.151 0.575
10 Pb 0.250 0.821 0.738
11 Pb 0.750 0.849 0.425
12 Pb 0.250 0.014 0.103
13 Pb 0.750 0.986 0.897
14 Pb 0.250 0.514 0.397
15 Pb 0.750 0.349 0.075
16 Pb 0.250 0.651 0.925
17 Pb 0.750 0.486 0.603
18 Pb 0.250 0.321 0.762
19 Pb 0.750 0.179 0.262
20 Pb 0.750 0.679 0.238
21 O 0.750 0.635 0.364
22 O 0.250 0.865 0.864
23 O 0.250 0.365 0.636
24 O 0.750 0.135 0.136

---

Model x:
Compound: Te2Pb3O
Source: Alexandria via LeMat-Bulk
Functional: PBE
Structure: relaxed

Symmetry: C2/c, No. 15
M_tot: 0.0 μB per formula unit

a = 6.497 Å, b = 9.135 Å, c = 7.676 Å
α = 111.04°, β = 115.04°, γ = 90.00°
Fractional positions:
1 Pb 0.132 0.498 0.269
2 Pb 0.863 0.002 0.731
3 Pb 0.868 0.502 0.731
4 Pb 0.137 0.998 0.269
5 Pb 0.440 0.250 0.000
6 Pb 0.560 0.750 0.000
7 Te 0.662 0.609 0.362
8 Te 0.701 0.109 0.362
9 Te 0.338 0.391 0.638
10 Te 0.299 0.891 0.638
11 O 0.904 0.750 0.000
12 O 0.096 0.250 0.000

---

Stability check: which of them is least stable? model x.

---

Model w:
Compound: Te3PbO
Source: Alexandria via LeMat-Bulk
Functional: PBE
Structure: relaxed

Symmetry: Pm-3m, No. 221
M_tot: 0.0 μB per formula unit

a = 5.817 Å, b = 5.817 Å, c = 5.817 Å
α = 90.00°, β = 90.00°, γ = 90.00°
Fractional positions:
1 Pb 0.000 0.000 0.000
2 Te 0.000 0.000 0.500
3 Te 0.500 0.000 0.000
4 Te 0.000 0.500 0.000
5 O 0.500 0.500 0.500

---

Model x:
Compound: Te3PbO
Source: Alexandria via LeMat-Bulk
Functional: PBE
Structure: relaxed

Symmetry: Pm-3m, No. 221
M_tot: 0.0 μB per formula unit

a = 4.974 Å, b = 4.974 Å, c = 4.974 Å
α = 90.00°, β = 90.00°, γ = 90.00°
Fractional positions:
1 Te 0.500 0.000 0.000
2 Te 0.000 0.000 0.500
3 Te 0.000 0.500 0.000
4 O 0.000 0.000 0.000
5 Pb 0.500 0.500 0.500

---

Stability check: which of them is least stable? model w.